Record 1
The following is a PBE calculation of crystalline Na2LiFeSe at its relaxed geometry, from Alexandria via LeMat-Bulk.

Output
Symmetry = No. 123
Spin magnetization = 3.18 μB/cell
VASP energy = -14.857 eV per cell

a = 5.3017 Å, b = 5.3017 Å, c = 4.3407 Å
α = 90.00°, β = 90.00°, γ = 90.00°
Fractional positions:
Na1 0.0000 0.5000 0.0000
Na2 0.5000 0.0000 0.0000
Li1 0.0000 0.0000 0.0000
Fe1 0.5000 0.5000 0.5000
Se1 0.0000 0.0000 0.5000

---

Record 2
The following is a PBE calculation of crystalline InNi2OsAu at its relaxed geometry, from Alexandria via LeMat-Bulk.

Output
Symmetry = No. 123
Spin magnetization = 2.09 μB/cell
E_form = 1.76 eV/atom

a = 4.5777 Å, b = 4.5777 Å, c = 4.9563 Å
α = 90.00°, β = 90.00°, γ = 90.00°
Fractional positions:
In1 0.0000 0.0000 0.0000
Ni1 0.0000 0.5000 0.0000
Ni2 0.5000 0.0000 0.0000
Os1 0.0000 0.0000 0.5000
Au1 0.5000 0.5000 0.5000

---

Record 3
The following is a PBE calculation of crystalline Np3Nb5H12 at its relaxed geometry, from Alexandria via LeMat-Bulk.

Output
Symmetry = No. 230
Spin magnetization = 0.00 μB/cell
VASP energy = -519.217 eV per cell

a = 10.1640 Å, b = 10.1640 Å, c = 10.1640 Å
α = 109.47°, β = 109.47°, γ = 109.47°
Fractional positions:
Np1 0.1250 0.2500 0.3750
Np2 0.1250 0.3750 0.7500
Np3 0.2500 0.3750 0.1250
Np4 0.2500 0.8750 0.6250
Np5 0.3750 0.1250 0.2500
Np6 0.3750 0.7500 0.1250
Np7 0.6250 0.2500 0.8750
Np8 0.6250 0.8750 0.7500
Np9 0.7500 0.1250 0.3750
Np10 0.7500 0.6250 0.8750
Np11 0.8750 0.6250 0.2500
Np12 0.8750 0.7500 0.6250
Nb1 0.0000 0.0000 0.0000
Nb2 0.0000 0.0000 0.5000
Nb3 0.0000 0.5000 0.0000
Nb4 0.0000 0.5000 0.5000
Nb5 0.1250 0.7500 0.8750
Nb6 0.1250 0.8750 0.2500
Nb7 0.2500 0.1250 0.8750
Nb8 0.2500 0.6250 0.3750
Nb9 0.3750 0.2500 0.6250
Nb10 0.3750 0.6250 0.7500
Nb11 0.5000 0.0000 0.0000
Nb12 0.5000 0.0000 0.5000
Nb13 0.5000 0.5000 0.0000
Nb14 0.5000 0.5000 0.5000
Nb15 0.6250 0.3750 0.2500
Nb16 0.6250 0.7500 0.3750
Nb17 0.7500 0.3750 0.6250
Nb18 0.7500 0.8750 0.1250
Nb19 0.8750 0.1250 0.7500
Nb20 0.8750 0.2500 0.1250
H1 0.0534 0.2175 0.1332
H2 0.0534 0.3358 0.9201
H3 0.0799 0.6332 0.4157
H4 0.0799 0.9466 0.6642
H5 0.0843 0.7175 0.6642
H6 0.0843 0.8668 0.4201
H7 0.1332 0.0534 0.2175
H8 0.1332 0.5799 0.9157
H9 0.1642 0.2175 0.5843
H10 0.1642 0.4466 0.5799
H11 0.2175 0.1332 0.0534
H12 0.2175 0.5843 0.1642
H13 0.2825 0.3358 0.9157
H14 0.2825 0.4466 0.3668
H15 0.3358 0.9157 0.2825
H16 0.3358 0.9201 0.0534
H17 0.3668 0.2825 0.4466
H18 0.3668 0.5843 0.9201
H19 0.4157 0.0799 0.6332
H20 0.4157 0.8358 0.7825
H21 0.4201 0.0843 0.8668
H22 0.4201 0.8358 0.5534
H23 0.4466 0.3668 0.2825
H24 0.4466 0.5799 0.1642
H25 0.5534 0.4201 0.8358
H26 0.5534 0.6332 0.7175
H27 0.5799 0.1642 0.4466
H28 0.5799 0.9157 0.1332
H29 0.5843 0.1642 0.2175
H30 0.5843 0.9201 0.3668
H31 0.6332 0.4157 0.0799
H32 0.6332 0.7175 0.5534
H33 0.6642 0.0799 0.9466
H34 0.6642 0.0843 0.7175
H35 0.7175 0.5534 0.6332
H36 0.7175 0.6642 0.0843
H37 0.7825 0.4157 0.8358
H38 0.7825 0.8668 0.9466
H39 0.8358 0.5534 0.4201
H40 0.8358 0.7825 0.4157
H41 0.8668 0.4201 0.0843
H42 0.8668 0.9466 0.7825
H43 0.9157 0.1332 0.5799
H44 0.9157 0.2825 0.3358
H45 0.9201 0.0534 0.3358
H46 0.9201 0.3668 0.5843
H47 0.9466 0.6642 0.0799
H48 0.9466 0.7825 0.8668

---

Record 4
The following is a PBE calculation of crystalline Co2AgSe at its relaxed geometry, from Alexandria via LeMat-Bulk.

Output
Symmetry = No. 10
Spin magnetization = 2.34 μB/cell
VASP energy = -18.994 eV per cell

a = 2.9763 Å, b = 3.7857 Å, c = 5.3329 Å
α = 90.00°, β = 103.34°, γ = 90.00°
Fractional positions:
Co1 0.1203 0.0000 0.2757
Co2 0.8797 0.0000 0.7243
Ag1 0.5000 0.5000 0.0000
Se1 0.0000 0.5000 0.5000

---

Record 5
The following is a PBE calculation of crystalline KRu2W at its relaxed geometry, from Alexandria via LeMat-Bulk.

Output
Symmetry = No. 47
Spin magnetization = 0.43 μB/cell
E_form = 1.61 eV/atom
Offset from the most stable computed form = 1009.5 meV/atom

a = 2.8411 Å, b = 4.7108 Å, c = 5.0981 Å
α = 90.00°, β = 90.00°, γ = 90.00°
Fractional positions:
K1 0.0000 0.0000 0.0000
Ru1 0.0000 0.5000 0.5000
Ru2 0.5000 0.5000 0.0000
W1 0.5000 0.0000 0.5000

---

> Look up the spin magnetization of the first one.

3.18 μB/cell